No. 1
DFT (PBE) results for MnTeOsI2 after structural relaxation.

Results
Calculated density   6612 kg/m³
Space-group type   No. 123
Uncorrected formation energy   0.903 eV/atom
Offset from the most stable computed form   0.000 eV per atom
Fermi-level density of states   0.7350 states/eV per atom
Volume   157.4 Å³/f.u.

```
5
Lattice="-2.922 -4.240 2.152 4.702 -2.953 0.566 0.641 1.909 4.633" Properties=species:S:1:pos:R:3 pbc="T T T"
Te 0.321 0.955 2.317
I 2.351 -1.476 0.283
I -1.461 -2.120 1.076
Mn 1.211 -2.642 3.676
Os 0.000 0.000 0.000
```

---

No. 2
DFT (PBE) results for La3Si4Ir2 after structural relaxation.

Results
Calculated density   7693 kg/m³
Space-group type   No. 12
Uncorrected formation energy   -0.900 eV/atom
Offset from the most stable computed form   0.000 eV per atom
Fermi-level density of states   0.6924 states/eV per atom
Volume   197.2 Å³/f.u.

```
9
Lattice="-1.356 0.685 3.793 4.639 -4.026 0.185 4.474 7.149 0.308" Properties=species:S:1:pos:R:3 pbc="T T T"
La 0.000 0.000 0.000
Ir 1.382 1.521 2.420
Si 5.659 1.423 3.967
La 3.605 3.813 2.801
La 4.152 -0.005 1.485
Si 2.098 2.385 0.319
Ir 6.375 2.287 1.866
Si 1.437 -0.842 2.867
Si 6.320 4.650 1.420
```

---

No. 3
DFT (PBE) results for SmTh2Ag6 after structural relaxation.

Results
Calculated density   9990 kg/m³
Space-group type   No. 191
ΔE_f   -0.18 eV per atom
Fermi-level density of states   0.9828 states/eV per atom
Volume   209.7 Å³/f.u.

```
9
Lattice="3.407 0.000 0.001 0.001 7.309 4.203 -0.001 0.014 8.431" Properties=species:S:1:pos:R:3 pbc="T T T"
Th 0.000 2.441 4.211
Ag 1.704 4.886 5.607
Ag 1.705 7.314 7.003
Th 3.407 4.882 8.423
Ag 1.702 4.881 2.807
Ag 1.705 2.442 9.827
Ag 1.703 2.437 7.027
Ag 1.701 0.010 5.631
Sm 0.000 0.000 0.000
```

---

No. 4
DFT (PBE) results for CaMgTa2 after structural relaxation.

Results
Calculated density   8230 kg/m³
Space-group type   No. 139
ΔE_f   0.67 eV per atom
Fermi-level density of states   1.6633 states/eV per atom
Volume   86.0 Å³/f.u.

```
4
Lattice="5.842 0.000 0.000 2.935 5.052 0.000 -4.388 -2.526 2.914" Properties=species:S:1:pos:R:3 pbc="T T T"
Mg 2.921 0.000 1.457
Ca 1.467 2.526 1.457
Ta 4.388 2.526 0.000
Ta 0.000 0.000 0.000
```

---

No. 5
DFT (PBE) results for LiNd3Al8 after structural relaxation.

Results
Calculated density   4319 kg/m³
Space-group type   No. 160
ΔE_f   -0.39 eV per atom
Fermi-level density of states   0.5720 states/eV per atom
Volume   252.0 Å³/f.u.

```
12
Lattice="5.625 0.000 0.000 2.813 4.872 0.000 2.813 1.624 9.197" Properties=species:S:1:pos:R:3 pbc="T T T"
Li 8.438 4.872 3.489
Al 7.036 2.433 1.710
Nd 5.625 3.248 4.506
Al 5.625 4.877 1.710
Al 4.214 2.433 1.710
Al 8.438 4.872 8.620
Nd 5.625 3.248 8.055
Al 2.813 1.624 4.017
Al 9.847 5.685 6.308
Al 8.438 3.245 6.308
Al 7.029 5.685 6.308
Nd 8.438 4.872 0.141
```

---

No. 6
DFT (PBE) results for SmPuHg2 after structural relaxation.

Results
Calculated density   12214 kg/m³
Space-group type   No. 225
Offset from the most stable computed form   0.019 eV per atom
ΔE_f   -0.27 eV per atom
Fermi-level density of states   2.8432 states/eV per atom
Volume   108.2 Å³/f.u.

```
4
Lattice="-4.042 -3.502 0.054 -0.320 -3.654 3.892 -3.822 0.385 3.721" Properties=species:S:1:pos:R:3 pbc="T T T"
Pu 0.000 0.000 0.000
Hg -2.046 -1.693 1.917
Sm -4.092 -3.385 3.834
Hg -6.138 -5.078 5.751
```

---

No. 7
DFT (PBE) results for PuMgBr2 after structural relaxation.

Results
Calculated density   5980 kg/m³
Space-group type   No. 166
Uncorrected formation energy   -0.665 eV/atom
Fermi-level density of states   2.4320 states/eV per atom
Volume   118.9 Å³/f.u.

```
4
Lattice="3.722 0.000 0.000 1.861 3.224 0.000 1.861 1.075 9.906" Properties=species:S:1:pos:R:3 pbc="T T T"
Pu 0.000 0.000 0.000
Br 5.584 3.224 3.373
Br 1.861 1.075 6.533
Mg 3.722 2.149 4.953
```

---

No. 8
DFT (PBE) results for LaCe2Si6 after structural relaxation.

Results
Calculated density   5338 kg/m³
Space-group type   No. 191
Uncorrected formation energy   -0.652 eV/atom
Fermi-level density of states   0.8527 states/eV per atom
Volume   182.8 Å³/f.u.

```
9
Lattice="4.209 0.000 0.000 0.000 6.133 -3.541 0.000 0.000 7.082" Properties=species:S:1:pos:R:3 pbc="T T T"
Si 2.104 4.075 4.729
Si 2.104 0.000 4.706
Si 2.104 6.133 -1.165
Si 2.104 4.075 2.353
Si 2.104 2.058 -1.188
Ce 4.209 4.089 0.000
Si 2.104 2.058 1.188
La 0.000 0.000 7.082
Ce 0.000 2.044 3.541
```